The following is a DFT calculation (PBE-GGA) of an optimized crystal structure of Pr3Sn3Ir.

Symmetry ... C2/m
Energy of formation ... -73 kJ/mol of atoms
E_tot ... -5.784 eV/atom

a = 6.214 Å, b = 6.214 Å, c = 15.429 Å
α = 107.88°, β = 107.88°, γ = 43.65°
Element x y z (fractional)
Pr 0.021 0.021 0.382
Pr 0.099 0.099 0.921
Pr 0.242 0.242 0.243
Pr 0.758 0.758 0.757
Pr 0.901 0.901 0.079
Pr 0.979 0.979 0.618
Sn 0.348 0.348 0.467
Sn 0.378 0.378 0.924
Sn 0.470 0.470 0.764
Sn 0.530 0.530 0.236
Sn 0.622 0.622 0.076
Sn 0.652 0.652 0.533
Ir 0.252 0.252 0.616
Ir 0.748 0.748 0.384

The following is a DFT calculation (PBE-GGA) of an optimized crystal structure of Pr7Sn2Ir2.

Symmetry ... Cmmm
Energy of formation ... -46 kJ/mol of atoms
E_tot ... -5.855 eV/atom

a = 7.123 Å, b = 7.123 Å, c = 7.277 Å
α = 90.00°, β = 90.00°, γ = 106.52°
Element x y z (fractional)
Pr 0.000 0.000 0.000
Pr 0.000 0.500 0.252
Pr 0.000 0.500 0.748
Pr 0.500 0.000 0.252
Pr 0.500 0.000 0.748
Pr 0.500 0.500 0.241
Pr 0.500 0.500 0.759
Sn 0.173 0.173 0.500
Sn 0.827 0.827 0.500
Ir 0.287 0.713 0.000
Ir 0.713 0.287 0.000

The following is a DFT calculation (PBE-GGA) of an optimized crystal structure of Pr4Sn3Ir.

Symmetry ... Pmm2
Energy of formation ... -66 kJ/mol of atoms
E_tot ... -5.687 eV/atom

a = 4.494 Å, b = 4.516 Å, c = 11.484 Å
α = 90.00°, β = 90.00°, γ = 90.00°
Element x y z (fractional)
Pr 0.000 0.000 0.000
Pr 0.000 0.500 0.455
Pr 0.500 0.000 0.693
Pr 0.500 0.500 0.201
Sn 0.000 0.500 0.745
Sn 0.500 0.000 0.409
Sn 0.500 0.500 0.920
Ir 0.000 0.000 0.258

The following is a DFT calculation (PBE-GGA) of an optimized crystal structure of Pr3SnIr8.

Symmetry ... R3m
Energy of formation ... -46 kJ/mol of atoms
E_tot ... -7.916 eV/atom

a = 9.393 Å, b = 9.393 Å, c = 9.393 Å
α = 33.65°, β = 33.65°, γ = 33.65°
Element x y z (fractional)
Pr 0.000 0.000 0.000
Pr 0.127 0.127 0.127
Pr 0.620 0.620 0.620
Sn 0.496 0.496 0.496
Ir 0.062 0.062 0.562
Ir 0.062 0.562 0.062
Ir 0.064 0.562 0.562
Ir 0.312 0.312 0.312
Ir 0.562 0.062 0.062
Ir 0.562 0.064 0.562
Ir 0.562 0.562 0.064
Ir 0.813 0.813 0.813

The following is a DFT calculation (PBE-GGA) of an optimized crystal structure of PrSn2Ir.

Symmetry ... Immm
Energy of formation ... -65 kJ/mol of atoms
E_tot ... -6.080 eV/atom

a = 10.218 Å, b = 10.218 Å, c = 10.218 Å
α = 153.80°, β = 123.35°, γ = 63.45°
Element x y z (fractional)
Pr 0.207 0.207 0.000
Pr 0.235 0.000 0.235
Pr 0.765 0.000 0.765
Pr 0.793 0.793 0.000
Sn 0.080 0.580 0.500
Sn 0.140 0.800 0.340
Sn 0.417 0.417 0.000
Sn 0.460 0.800 0.660
Sn 0.540 0.200 0.340
Sn 0.583 0.583 0.000
Sn 0.860 0.200 0.660
Sn 0.920 0.420 0.500
Ir 0.103 0.354 0.748
Ir 0.394 0.646 0.748
Ir 0.606 0.354 0.252
Ir 0.897 0.646 0.252

The following is a DFT calculation (PBE-GGA) of an optimized crystal structure of PrSn3Ir.

Symmetry ... C2/m
Energy of formation ... -31 kJ/mol of atoms
E_tot ... -5.452 eV/atom

a = 6.845 Å, b = 6.845 Å, c = 6.265 Å
α = 97.11°, β = 97.11°, γ = 61.59°
Element x y z (fractional)
Pr 0.221 0.221 0.206
Pr 0.779 0.779 0.794
Sn 0.141 0.728 0.240
Sn 0.272 0.859 0.760
Sn 0.304 0.304 0.710
Sn 0.696 0.696 0.290
Sn 0.728 0.141 0.240
Sn 0.859 0.272 0.760
Ir 0.500 0.500 0.000
Ir 0.500 0.500 0.500

The following is a DFT calculation (PBE-GGA) of an optimized crystal structure of Pr4Sn8Ir.

Symmetry ... Pmm2
Energy of formation ... -61 kJ/mol of atoms
E_tot ... -5.243 eV/atom

a = 4.512 Å, b = 4.588 Å, c = 17.285 Å
α = 90.00°, β = 90.00°, γ = 90.00°
Element x y z (fractional)
Pr 0.000 0.000 0.000
Pr 0.000 0.500 0.490
Pr 0.500 0.000 0.787
Pr 0.500 0.500 0.292
Sn 0.000 0.000 0.329
Sn 0.000 0.000 0.628
Sn 0.000 0.500 0.145
Sn 0.000 0.500 0.855
Sn 0.500 0.000 0.148
Sn 0.500 0.000 0.448
Sn 0.500 0.500 0.626
Sn 0.500 0.500 0.968
Ir 0.000 0.500 0.706

The following is a DFT calculation (PBE-GGA) of an optimized crystal structure of Pr5Sn2Ir.

Symmetry ... Fmmm
Energy of formation ... -40 kJ/mol of atoms
E_tot ... -5.513 eV/atom

a = 9.631 Å, b = 8.681 Å, c = 5.958 Å
α = 79.92°, β = 62.55°, γ = 37.52°
Element x y z (fractional)
Pr 0.000 0.000 0.000
Pr 0.194 0.535 0.465
Pr 0.465 0.806 0.194
Pr 0.535 0.194 0.806
Pr 0.806 0.465 0.535
Sn 0.197 0.197 0.803
Sn 0.803 0.803 0.197
Ir 0.500 0.500 0.500

| no. | M_tot (Bohr magnetons per cell) |
| --- | --- |
| 1 | 0.00 |
| 2 | 0.00 |
| 3 | 0.00 |
| 4 | 0.00 |
| 5 | 0.00 |
| 6 | 0.00 |
| 7 | 0.00 |
| 8 | 0.00 |